An optimized crystal structure of Er3Mg3In2Hg. Source: OQMD via LeMat-Bulk, functional GGA-PBE.

Computed properties:
Volume in Å³ per atom: 24.53
Total DFT energy (no corrections) in eV per atom: -3.08
Mass density in g cm⁻³: 7.6
Total moment in μB/f.u.: 0.00

The structure in extended XYZ format:
```
9
Lattice="7.4421 0.0000 0.0000 -3.7211 6.4451 0.0000 0.0000 0.0000 4.6025" Properties=species:S:1:pos:R:3 pbc="T T T"
Mg 0.8906 1.5426 2.3012
Mg 5.6609 0.0000 2.3012
Mg -2.8304 4.9024 2.3012
Hg 0.0000 0.0000 0.0000
Er 3.1431 0.0000 0.0000
Er -1.5715 2.7220 0.0000
Er 2.1495 3.7231 0.0000
In 3.7211 2.1484 2.3012
In 0.0000 4.2967 2.3012
```